NaVZn4: relaxed, GGA-PBE.

Properties
Space-group type: No. 216
Magnetization in μB per formula unit: 4.0
Energy relative to the elements in eV per atom: 0.174

a = 5.2197 Å, b = 5.2197 Å, c = 5.2197 Å
α = 60.00°, β = 60.00°, γ = 60.00°
With the nearest neighbours (Å) after each atom.
Element x y z (fractional)
Na (0.0000, 0.0000, 0.0000)  12 Zn 3.06, 4 V 3.20
V (0.7500, 0.7500, 0.7500)  12 Zn 3.06, 4 Na 3.20
Zn (0.3756, 0.3756, 0.3756)  6 Zn 2.60-2.62
Zn (0.3756, 0.3756, 0.8731)  6 Zn 2.60-2.62
Zn (0.3756, 0.8731, 0.3756)  6 Zn 2.60-2.62
Zn (0.8731, 0.3756, 0.3756)  6 Zn 2.60-2.62